An optimized crystal structure of Er7CI12, computed with GGA-PBE.

```
Er7CI12
1.0
-9.362 -1.776 -0.414
4.560 -7.264 -4.173
2.555 0.189 9.187
Er C I
7 1 12
direct
0.968 0.717 0.904
0.283 0.096 0.032
0.096 0.032 0.283
0.032 0.283 0.096
0.904 0.968 0.717
0.717 0.904 0.968
0.500 0.500 0.500
0.000 0.000 0.000
0.077 0.691 0.225
0.225 0.077 0.691
0.387 0.466 0.151
0.923 0.309 0.775
0.151 0.387 0.466
0.613 0.534 0.849
0.775 0.923 0.309
0.309 0.775 0.923
0.534 0.849 0.613
0.849 0.613 0.534
0.691 0.225 0.077
0.466 0.151 0.387
```

Output
**Volume**: 35.13 Å³ per atom
**Raw formation energy**: -1.1674 eV per atom
**Electronic total energy**: -4.156 eV per atom
**DOS at the Fermi energy**: 10.5 states/eV/f.u.